The following is a DFT calculation (PBE) of an optimized crystal structure of Ac7NdY3.

Values from the calculation:
V	41.1	Å³/atom
formation enthalpy at 0 K	1.62	eV/f.u.
D(E_F)	36.226	states/eV/cell

Unit cell a=10.7100 b=10.7100 c=12.3117 alpha=90.02 beta=89.98 gamma=140.20
Last column: nearest neighbours and their distance in Å.
Sites, in units of the cell vectors:
Ac1 0.7015 0.8837 0.2499  4 Y 3.63-3.89, 3 Ac 3.67-3.84
Ac2 0.9147 0.5928 0.9608  3 Y 3.63-3.74, 4 Ac 3.71-3.84, 1 Nd 3.76
Ac3 0.2985 0.1163 0.7501  4 Y 3.63-3.89, 3 Ac 3.67-3.84
Ac4 0.4067 0.0847 0.0393  3 Y 3.63-3.74, 4 Ac 3.71-3.84, 1 Nd 3.77
Ac5 0.7083 0.7083 0.7500  2 Nd 3.43, 2 Y 3.74
Ac6 0.5933 0.9153 0.9607  3 Y 3.63-3.74, 4 Ac 3.71-3.84, 1 Nd 3.77
Ac7 0.1163 0.2985 0.7499  4 Y 3.63-3.89, 3 Ac 3.67-3.84
Ac8 0.2917 0.2917 0.2500  2 Nd 3.43, 2 Y 3.74
Ac9 0.5928 0.9147 0.5392  3 Y 3.63-3.74, 4 Ac 3.71-3.84, 1 Nd 3.76
Ac10 0.4072 0.0853 0.4608  3 Y 3.63-3.74, 4 Ac 3.71-3.84, 1 Nd 3.76
Ac11 0.8837 0.7015 0.2501  4 Y 3.63-3.89, 3 Ac 3.67-3.84
Ac12 0.9153 0.5933 0.5393  3 Y 3.63-3.74, 4 Ac 3.71-3.84, 1 Nd 3.77
Ac13 0.0847 0.4067 0.4607  3 Y 3.63-3.74, 4 Ac 3.71-3.84, 1 Nd 3.77
Ac14 0.0853 0.4072 0.0392  3 Y 3.63-3.74, 4 Ac 3.71-3.84, 1 Nd 3.76
Nd1 0.5000 0.5000 0.5000  6 Ac 3.43-3.77, 2 Y 3.65
Nd2 0.5000 0.5000 0.0000  6 Ac 3.43-3.77, 2 Y 3.65
Y1 0.0000 0.0000 0.0000  2 Nd 3.65, 10 Ac 3.74-3.89
Y2 0.2448 0.7262 0.7502  6 Ac 3.63-3.75, 2 Y 3.67
Y3 0.7262 0.2448 0.7498  6 Ac 3.63-3.75, 2 Y 3.67
Y4 0.7552 0.2738 0.2498  6 Ac 3.63-3.75, 2 Y 3.67
Y5 0.2738 0.7552 0.2502  6 Ac 3.63-3.75, 2 Y 3.67
Y6 0.0000 0.0000 0.5000  2 Nd 3.65, 10 Ac 3.74-3.89